Run A
DyTmCuNi: relaxed, PBE.

Computed properties:
As for the total moment: 0.0 μB/cell.

a b c (Å): 4.799 4.799 4.799
angles (deg): 60.00 60.00 60.00
Sites, in units of the cell vectors:
Tm 0.500 0.500 0.500
Ni 0.750 0.750 0.750
Dy 0.000 0.000 0.000
Cu 0.250 0.250 0.250



Run B
DyTmCuNi: relaxed, PBE.

Computed properties:
As for the total moment: 0.0 μB/cell.

a b c (Å): 3.660 4.383 5.381
angles (deg): 90.00 109.88 90.00
Sites, in units of the cell vectors:
Tm 0.861 0.500 0.723
Ni 0.426 0.000 0.853
Dy 0.140 0.000 0.280
Cu 0.572 0.500 0.144



Stability check: which of them is least stable? run A.